# 1
# DyErMg | Alexandria | GGA-PBE | optimized geometry
data_DyErMg
_space_group_name_H-M_alt 'P m m a'
_space_group_IT_number 51
_cell_length_a 5.3726
_cell_length_b 3.4098
_cell_length_c 9.4211
_cell_angle_alpha 90.00
_cell_angle_beta 90.00
_cell_angle_gamma 90.00
loop_
_space_group_symop_operation_xyz
'x,y,z'
'-x,-y,-z'
'-x+1/2,-y,z'
'x+1/2,y,-z'
'x+1/2,-y,-z'
'-x+1/2,y,z'
'-x,y,-z'
'x,-y,z'
loop_
_atom_site_label
_atom_site_fract_x
_atom_site_fract_y
_atom_site_fract_z
_atom_site_occupancy
Dy1 0.2500 0.0000 0.0844 1
Er1 0.2500 0.5000 0.7463 1
Mg1 0.2500 0.0000 0.4205 1
# Distance to the lowest polymorph of the same formula ... 53 meV per atom
# Crystal system ... orthorhombic

***

# 2
# Dy2ErMg2 | Alexandria | GGA-PBE | optimized geometry
data_Dy2ErMg2
_space_group_name_H-M_alt 'C m c m'
_space_group_IT_number 63
_space_group_name_Hall '-C 2c 2'
_cell_length_a 3.7146
_cell_length_b 27.7914
_cell_length_c 5.4070
_cell_angle_alpha 90.00
_cell_angle_beta 90.00
_cell_angle_gamma 90.00
loop_
_atom_site_label
_atom_site_fract_x
_atom_site_fract_y
_atom_site_fract_z
_atom_site_occupancy
Dy1 0.0000 0.0438 0.2500 1
Dy2 0.0000 0.2371 0.2500 1
Er1 0.0000 0.1522 0.7500 1
Mg1 0.0000 0.3602 0.7500 1
Mg2 0.0000 0.4453 0.2500 1
# Distance to the lowest polymorph of the same formula ... 0 meV per atom
# Crystal system ... orthorhombic

***

# 3
# Dy3Er2Mg8 | Alexandria | GGA-PBE | optimized geometry
data_Dy3Er2Mg8
_space_group_name_H-M_alt 'R -3 m'
_space_group_IT_number 166
_space_group_name_Hall '-R 3 2"'
_cell_length_a 5.8229
_cell_length_b 5.8229
_cell_length_c 36.9009
_cell_angle_alpha 90.00
_cell_angle_beta 90.00
_cell_angle_gamma 120.00
loop_
_atom_site_label
_atom_site_fract_x
_atom_site_fract_y
_atom_site_fract_z
_atom_site_occupancy
Dy1 0.0000 0.0000 0.0000 1
Dy2 0.0000 0.0000 0.1833 1
Er1 0.0000 0.0000 0.3597 1
Mg1 0.0000 0.0000 0.2750 1
Mg2 0.0006 0.5003 0.7695 1
# Crystal system ... trigonal

***

# 4
# Dy8Er4Mg | Alexandria | GGA-PBE | optimized geometry
data_Dy8Er4Mg
_space_group_name_H-M_alt 'R -3 m'
_space_group_IT_number 166
_space_group_name_Hall '-R 3 2"'
_cell_length_a 7.0702
_cell_length_b 7.0702
_cell_length_c 28.6551
_cell_angle_alpha 90.00
_cell_angle_beta 90.00
_cell_angle_gamma 120.00
loop_
_atom_site_label
_atom_site_fract_x
_atom_site_fract_y
_atom_site_fract_z
_atom_site_occupancy
Dy1 0.0000 0.0000 0.2128 1
Dy2 0.0167 0.5084 0.7624 1
Er1 0.0000 0.0000 0.0000 1
Er2 0.0000 0.5000 0.0000 1
Mg1 0.0000 0.0000 0.5000 1
# Crystal system ... trigonal

***

# 5
# DyErMg5 | Alexandria | GGA-PBE | optimized geometry
data_DyErMg5
_space_group_name_H-M_alt 'C 1 2/m 1'
_space_group_IT_number 12
_cell_length_a 6.3433
_cell_length_b 9.7295
_cell_length_c 6.5324
_cell_angle_alpha 90.00
_cell_angle_beta 110.10
_cell_angle_gamma 90.00
loop_
_space_group_symop_operation_xyz
'x,y,z'
'-x,-y,-z'
'-x,y,-z'
'x,-y,z'
'x+1/2,y+1/2,z'
'-x+1/2,-y+1/2,-z'
'-x+1/2,y+1/2,-z'
'x+1/2,-y+1/2,z'
loop_
_atom_site_label
_atom_site_fract_x
_atom_site_fract_y
_atom_site_fract_z
_atom_site_occupancy
Dy1 0.0000 0.0000 0.0000 1
Er1 0.0000 0.5000 0.5000 1
Mg1 0.0000 0.0000 0.5000 1
Mg2 0.2052 0.2869 0.2264 1
# Crystal system ... monoclinic

***

# 6
# DyEr2Mg | Alexandria | GGA-PBE | optimized geometry
data_DyEr2Mg
_space_group_name_H-M_alt 'C 1 2/m 1'
_space_group_IT_number 12
_cell_length_a 7.0826
_cell_length_b 7.0925
_cell_length_c 9.9133
_cell_angle_alpha 90.00
_cell_angle_beta 110.85
_cell_angle_gamma 90.00
loop_
_space_group_symop_operation_xyz
'x,y,z'
'-x,-y,-z'
'-x,y,-z'
'x,-y,z'
'x+1/2,y+1/2,z'
'-x+1/2,-y+1/2,-z'
'-x+1/2,y+1/2,-z'
'x+1/2,-y+1/2,z'
loop_
_atom_site_label
_atom_site_fract_x
_atom_site_fract_y
_atom_site_fract_z
_atom_site_occupancy
Dy1 0.1301 0.0000 0.2603 1
Er1 0.1311 0.5000 0.2624 1
Er2 0.2500 0.2500 0.0000 1
Mg1 0.0000 0.2500 0.5000 1
# Distance to the lowest polymorph of the same formula ... 0 meV per atom
# Crystal system ... monoclinic

***

# 7
# Dy2Er2Mg | Alexandria | GGA-PBE | optimized geometry
data_Dy2Er2Mg
_space_group_name_H-M_alt 'I 41/a m d'
_space_group_IT_number 141
_cell_length_a 5.0786
_cell_length_b 5.0786
_cell_length_c 24.9509
_cell_angle_alpha 90.00
_cell_angle_beta 90.00
_cell_angle_gamma 90.00
loop_
_space_group_symop_operation_xyz
'x,y,z'
'-x,-y,-z'
'-y+1/4,x+3/4,z+1/4'
'y+1/4,-x+3/4,-z+1/4'
'-x+1/2,-y,z+1/2'
'x+1/2,y,-z+1/2'
'y+1/4,-x+1/4,z+3/4'
'-y+1/4,x+1/4,-z+3/4'
'x,-y,-z'
'-x,y,z'
'-y+1/4,-x+1/4,-z+3/4'
'y+1/4,x+1/4,z+3/4'
'-x+1/2,y,-z+1/2'
'x+1/2,-y,z+1/2'
'y+1/4,x+3/4,-z+1/4'
'-y+1/4,-x+3/4,z+1/4'
'x+1/2,y+1/2,z+1/2'
'-x+1/2,-y+1/2,-z+1/2'
'-y+3/4,x+1/4,z+3/4'
'y+3/4,-x+1/4,-z+3/4'
'-x,-y+1/2,z'
'x,y+1/2,-z'
'y+3/4,-x+3/4,z+1/4'
'-y+3/4,x+3/4,-z+1/4'
'x+1/2,-y+1/2,-z+1/2'
'-x+1/2,y+1/2,z+1/2'
'-y+3/4,-x+3/4,-z+1/4'
'y+3/4,x+3/4,z+1/4'
'-x,y+1/2,-z'
'x,-y+1/2,z'
'y+3/4,x+1/4,-z+3/4'
'-y+3/4,-x+1/4,z+3/4'
loop_
_atom_site_label
_atom_site_fract_x
_atom_site_fract_y
_atom_site_fract_z
_atom_site_occupancy
Dy1 0.0000 0.2500 0.0456 1
Er1 0.0000 0.2500 0.2002 1
Mg1 0.0000 0.2500 0.8750 1
# Distance to the lowest polymorph of the same formula ... 220 meV per atom
# Crystal system ... tetragonal

***

# 8
# DyEr2Mg4 | Alexandria | GGA-PBE | optimized geometry
data_DyEr2Mg4
_space_group_name_H-M_alt 'C m m m'
_space_group_IT_number 65
_space_group_name_Hall '-C 2 2'
_cell_length_a 5.9449
_cell_length_b 12.9034
_cell_length_c 5.4243
_cell_angle_alpha 90.00
_cell_angle_beta 90.00
_cell_angle_gamma 90.00
loop_
_atom_site_label
_atom_site_fract_x
_atom_site_fract_y
_atom_site_fract_z
_atom_site_occupancy
Dy1 0.0000 0.0000 0.0000 1
Er1 0.0000 0.3692 0.5000 1
Mg1 0.0000 0.1199 0.5000 1
Mg2 0.0000 0.2452 0.0000 1
# Distance to the lowest polymorph of the same formula ... 248 meV per atom
# Crystal system ... orthorhombic

***

# 9
# Dy2ErMg | Alexandria | GGA-PBE | optimized geometry
data_Dy2ErMg
_space_group_name_H-M_alt 'P 4/m m m'
_space_group_IT_number 123
_space_group_name_Hall '-P 4 2'
_cell_length_a 5.4589
_cell_length_b 5.4589
_cell_length_c 3.9203
_cell_angle_alpha 90.00
_cell_angle_beta 90.00
_cell_angle_gamma 90.00
loop_
_atom_site_label
_atom_site_fract_x
_atom_site_fract_y
_atom_site_fract_z
_atom_site_occupancy
Dy1 0.0000 0.5000 0.0000 1
Er1 0.0000 0.0000 0.5000 1
Mg1 0.5000 0.5000 0.5000 1
# Distance to the lowest polymorph of the same formula ... 70 meV per atom
# Crystal system ... tetragonal

***

# 10
# Dy6Er3Mg | Alexandria | GGA-PBE | optimized geometry
data_Dy6Er3Mg
_space_group_name_H-M_alt 'C m c 21'
_space_group_IT_number 36
_cell_length_a 9.3072
_cell_length_b 14.7271
_cell_length_c 8.9866
_cell_angle_alpha 90.00
_cell_angle_beta 90.00
_cell_angle_gamma 90.00
loop_
_space_group_symop_operation_xyz
'x,y,z'
'-x,-y,z+1/2'
'-x,y,z'
'x,-y,z+1/2'
'x+1/2,y+1/2,z'
'-x+1/2,-y+1/2,z+1/2'
'-x+1/2,y+1/2,z'
'x+1/2,-y+1/2,z+1/2'
loop_
_atom_site_label
_atom_site_fract_x
_atom_site_fract_y
_atom_site_fract_z
_atom_site_occupancy
Dy1 0.0000 0.0626 0.0000 1
Dy2 0.0000 0.2945 0.8687 1
Dy3 0.1758 0.3459 0.4849 1
Dy4 0.2199 0.0693 0.3174 1
Er1 0.0000 0.4640 0.1394 1
Er2 0.1758 0.1422 0.6546 1
Mg1 0.0000 0.2383 0.2219 1
# Distance to the lowest polymorph of the same formula ... 113 meV per atom
# Crystal system ... orthorhombic

***

# 11
# Dy7ErMg2 | Alexandria | GGA-PBE | optimized geometry
data_Dy7ErMg2
_space_group_name_H-M_alt 'C m m m'
_space_group_IT_number 65
_space_group_name_Hall '-C 2 2'
_cell_length_a 8.7573
_cell_length_b 16.3522
_cell_length_c 5.2089
_cell_angle_alpha 90.00
_cell_angle_beta 90.00
_cell_angle_gamma 90.00
loop_
_atom_site_label
_atom_site_fract_x
_atom_site_fract_y
_atom_site_fract_z
_atom_site_occupancy
Dy1 0.0000 0.0000 0.0000 1
Dy2 0.0000 0.2911 0.5000 1
Dy3 0.1820 0.3878 0.0000 1
Er1 0.0000 0.5000 0.5000 1
Mg1 0.0000 0.2007 0.0000 1
# Crystal system ... orthorhombic

***

# 12
# Dy2ErMg9 | Alexandria | GGA-PBE | optimized geometry
data_Dy2ErMg9
_space_group_name_H-M_alt 'R -3 m'
_space_group_IT_number 166
_space_group_name_Hall '-R 3 2"'
_cell_length_a 6.0296
_cell_length_b 6.0296
_cell_length_c 29.0103
_cell_angle_alpha 90.00
_cell_angle_beta 90.00
_cell_angle_gamma 120.00
loop_
_atom_site_label
_atom_site_fract_x
_atom_site_fract_y
_atom_site_fract_z
_atom_site_occupancy
Dy1 0.0000 0.0000 0.1427 1
Er1 0.0000 0.0000 0.0000 1
Mg1 0.0000 0.0000 0.3341 1
Mg2 0.0000 0.0000 0.5000 1
Mg3 0.0051 0.5025 0.9160 1
# Crystal system ... trigonal

***

| no. | E_form (meV/atom) | electronic total energy (eV per cell) |
| --- | --- | --- |
| 1 | 18 | -21.41 |
| 2 | -63 | -69.09 |
| 3 | 130 | -102.01 |
| 4 | 197 | -162.32 |
| 5 | 110 | -32.74 |
| 6 | -28 | -61.73 |
| 7 | 207 | -75.56 |
| 8 | 398 | -34.64 |
| 9 | 41 | -15.20 |
| 10 | 132 | -166.29 |
| 11 | 577 | -68.40 |
| 12 | -19 | -85.05 |